# 1
CoCl (PBE-GGA, relaxed); density of states at the Fermi level = 1.0043 states/eV per atom; raw total energy = -4.22 eV per atom; crystal system = hexagonal; energy relative to the elements, uncorrected = 252 meV per atom
1.0
0.4405 1.1991 3.6246
-1.7862 -3.3258 -0.7201
11.5373 -6.3475 0.6977
Co Cl
4 4
Cartesian
2.8843 -1.5869 0.1744
8.6530 -4.7606 0.5233
7.6090 -6.5781 1.2515
2.5826 -1.8960 2.3508
0.4607 -2.6453 0.8191
6.9716 -4.3107 2.6163
9.7309 -5.8288 2.7831
3.2200 -4.1634 0.9860


# 2
ZrGaAs3 (PBE-GGA, relaxed); formation energy from the elements = 0.51 eV/atom; density of states at the Fermi level = 0.8511 states/eV per atom; raw total energy = -4.60 eV per atom; crystal system = cubic; distance to the lowest polymorph of the same formula = 0.331 eV/atom
1.0
4.8254 0.0000 0.0000
0.0000 4.8254 0.0000
0.0000 0.0000 4.8254
As Ga Zr
3 1 1
Cartesian
0.0000 2.4127 0.0000
0.0000 0.0000 2.4127
2.4127 0.0000 0.0000
0.0000 0.0000 0.0000
2.4127 2.4127 2.4127


# 3
CaAlSiTc2 (PBE-GGA, relaxed); density of states at the Fermi level = 1.1409 states/eV per atom; raw total energy = -4.06 eV per atom; crystal system = tetragonal; energy relative to the elements, uncorrected = 2323 meV per atom
1.0
4.6457 0.0000 0.0000
0.0000 5.0343 0.0000
0.0000 0.0000 4.6457
Ca Si Tc Al
1 1 2 1
Cartesian
0.0000 0.0000 0.0000
2.3229 2.5172 2.3229
0.0000 0.0000 2.3229
2.3229 0.0000 0.0000
0.0000 2.5172 0.0000


# 4
SiSnPbSe4 (PBE-GGA, relaxed); raw total energy = -4.32 eV per atom; crystal system = monoclinic; energy relative to the elements, uncorrected = -449 meV per atom
1.0
7.0212 0.0000 0.0449
0.0000 6.8922 0.0000
-2.6892 0.0000 8.2406
Si Sn Pb Se
2 2 2 8
Cartesian
0.6620 5.1691 2.4252
3.6700 1.7230 5.8603
3.8687 5.1691 3.6424
0.4633 1.7230 4.6431
2.9115 5.1691 7.7847
1.4205 1.7230 0.5008
-2.0032 3.4885 6.3454
6.3353 0.0424 1.9401
6.3353 3.4037 1.9401
-2.0032 6.8498 6.3454
2.5776 5.1691 1.1672
1.7544 1.7230 7.1183
1.1930 5.1691 4.6573
3.1390 1.7230 3.6282


# 5
CdIrCl (PBE-GGA, relaxed); density of states at the Fermi level = 1.2360 states/eV per atom; raw total energy = -3.48 eV per atom; crystal system = trigonal; energy relative to the elements, uncorrected = 397 meV per atom; distance to the lowest polymorph of the same formula = 0.000 eV/atom
1.0
3.1561 0.0000 0.0000
-1.5781 2.7333 0.0000
0.0000 0.0000 6.3235
Cl Ir Cd
1 1 1
Cartesian
1.5781 0.9111 2.1657
0.0000 1.8222 4.2002
0.0000 0.0000 6.2811


# 6
Na2Pb2Au (PBE-GGA, relaxed); formation energy from the elements = -0.22 eV/atom; density of states at the Fermi level = 0.3435 states/eV per atom; raw total energy = -2.88 eV per atom; crystal system = monoclinic; distance to the lowest polymorph of the same formula = 0.000 eV/atom
1.0
4.8421 0.0000 0.0000
2.4210 5.1209 -0.7873
2.4210 -0.7770 11.1428
Na Pb Au
4 4 2
Cartesian
2.4210 0.5058 1.6203
4.8421 1.7754 7.4702
7.2631 3.8381 8.7352
4.8421 2.5685 2.8852
7.2631 0.7912 10.4372
2.4210 0.6055 4.8608
2.4210 3.5527 -0.0817
7.2631 3.7384 5.4946
7.2631 4.5727 2.6351
2.4210 -0.2288 7.7203


# 7
Sn2BiF (PBE-GGA, relaxed); density of states at the Fermi level = 0.1383 states/eV per atom; raw total energy = -4.03 eV per atom; crystal system = tetragonal; energy relative to the elements, uncorrected = -586 meV per atom; distance to the lowest polymorph of the same formula = 0.000 eV/atom
1.0
5.4897 0.0000 0.0000
0.0000 5.4897 0.0000
2.7449 2.7449 7.8582
F Bi Sn
2 2 4
Cartesian
2.7449 2.7449 0.0000
2.7449 5.4897 3.9291
0.0000 0.0000 0.0000
5.4897 2.7449 3.9291
3.5258 1.3724 1.9645
1.9639 4.1173 1.9645
4.1173 4.7088 5.8936
6.8622 6.2707 5.8936


# 8
Zr2UGa (PBE-GGA, relaxed); formation energy from the elements = -0.02 eV/atom; density of states at the Fermi level = 2.1283 states/eV per atom; raw total energy = -7.87 eV per atom; crystal system = tetragonal; distance to the lowest polymorph of the same formula = 0.084 eV/atom
1.0
-1.9743 -2.9542 -0.2152
1.8234 -1.0083 -2.8862
4.3041 -3.1548 3.8212
U Ga Zr
1 1 2
Cartesian
-0.0754 -1.9813 -1.5507
2.0766 -3.5586 0.3599
3.1820 -2.3323 2.8250
1.1221 -0.8225 0.9962


Spin magnetization / μB per cell: 8.1 0.0 2.5 0.0 0.4 0.0 0.0 1.9